1.
DFT (PBE-GGA) results for a relaxed structure of Be2CrCl.

Values from the calculation:
formation energy without anion corrections	678	meV per atom
energy above the lowest structure with this stoichiometry	484	meV/atom

Geometry as POSCAR:
```
Be2CrCl
1.0
4.101 0.000 0.000
0.000 4.101 0.000
0.000 0.000 2.968
Be Cr Cl
2 1 1
direct
0.000 0.500 0.000
0.500 0.000 0.000
0.000 0.000 0.500
0.500 0.500 0.500
```

2.
DFT (PBE-GGA) results for a relaxed structure of CdTe2Se.

Values from the calculation:
formation energy without anion corrections	17	meV per atom

Geometry as POSCAR:
```
CdTe2Se
1.0
2.135 1.233 7.087
-2.135 1.233 7.087
0.000 -2.465 7.087
Cd Te Se
1 2 1
direct
0.000 0.000 0.000
0.250 0.250 0.250
0.750 0.750 0.750
0.500 0.500 0.500
```

3.
DFT (PBE-GGA) results for a relaxed structure of NpGa3Au5.

Values from the calculation:
DFT formation energy	-0.177	eV per atom

Geometry as POSCAR:
```
NpGa3Au5
1.0
1.589 -6.855 0.000
1.589 6.855 0.000
0.000 0.000 15.967
Np Ga Au
2 6 10
direct
0.204 0.796 0.750
0.796 0.204 0.250
0.088 0.912 0.250
0.342 0.658 0.036
0.342 0.658 0.464
0.658 0.342 0.536
0.658 0.342 0.964
0.912 0.088 0.750
0.000 0.000 0.000
0.000 0.000 0.500
0.173 0.827 0.106
0.173 0.827 0.394
0.468 0.532 0.159
0.468 0.532 0.341
0.532 0.468 0.659
0.532 0.468 0.841
0.827 0.173 0.606
0.827 0.173 0.894
```

4.
DFT (PBE-GGA) results for a relaxed structure of Ti4Mo4W3.

Values from the calculation:
DFT formation energy	-0.099	eV per atom

Geometry as POSCAR:
```
Ti4Mo4W3
1.0
14.132 -2.227 0.000
14.132 2.227 0.000
-0.158 0.000 2.800
Ti Mo W
4 4 3
direct
0.090 0.090 0.208
0.273 0.273 0.717
0.727 0.727 0.283
0.910 0.910 0.792
0.180 0.180 0.934
0.454 0.454 0.146
0.546 0.546 0.854
0.820 0.820 0.066
0.000 0.000 0.500
0.364 0.364 0.392
0.636 0.636 0.608
```

5.
DFT (PBE-GGA) results for a relaxed structure of BaOsPt.

Values from the calculation:
DFT formation energy	0.118	eV per atom
energy above the lowest structure with this stoichiometry	177	meV/atom

Geometry as POSCAR:
```
BaOsPt
1.0
4.412 0.000 0.000
2.204 5.958 0.000
2.201 2.493 6.009
Ba Os Pt
2 2 2
direct
0.000 0.000 0.000
0.285 0.938 0.497
0.288 0.424 0.000
0.479 0.390 0.652
0.033 0.490 0.445
0.680 0.440 0.199
```